# 1
CaAc2Sn4Au3 GGA-PBE optimized geometry; spin magnetization = 0.0 μB/f.u.; density = 9.42 g/cm3; formation energy from the elements = -0.63 eV/atom
1.0
4.653 0.000 0.000
0.000 4.653 0.000
0.000 0.000 12.692
Ca Ac Sn Au
1 2 4 3
Cartesian
0.000 0.000 0.000
0.000 2.327 9.357
2.327 0.000 3.335
0.000 0.000 6.346
0.000 2.327 1.924
2.327 0.000 10.769
2.327 2.327 6.346
0.000 2.327 4.646
2.327 0.000 8.046
2.327 2.327 0.000

---

# 2
Zn6SnAu12 GGA-PBE optimized geometry; excess energy over the best structure of this formula in the dataset = 49 meV per atom; spin magnetization = 0.0 μB/f.u.; density = 13.31 g/cm3; formation energy from the elements = -0.09 eV/atom
1.0
6.104 3.524 2.779
-6.104 3.524 2.779
0.000 -7.048 2.779
Zn Sn Au
6 1 12
Cartesian
0.000 -2.815 3.558
-2.438 1.408 3.558
-2.438 -1.408 4.778
2.438 1.408 3.558
2.438 -1.408 4.778
0.000 2.815 4.778
0.000 0.000 0.000
-1.497 -0.864 2.337
-2.320 -4.019 4.168
-4.641 0.000 4.168
1.497 -0.864 2.337
0.000 1.728 2.337
2.320 -4.019 4.168
-2.320 4.019 4.168
0.000 -1.728 5.999
-1.497 0.864 5.999
4.641 0.000 4.168
2.320 4.019 4.168
1.497 0.864 5.999

---

# 3
NdIn2BiTe4 GGA-PBE optimized geometry; raw formation energy = -0.6065 eV per atom; spin magnetization = 0.0 μB/f.u.; density = 6.38 g/cm3
1.0
7.922 0.000 0.000
0.000 4.548 0.000
-2.639 0.000 7.901
Nd In Bi Te
1 2 1 4
Cartesian
0.000 0.000 0.000
-1.320 2.274 3.951
2.641 0.000 3.951
3.961 2.274 0.000
1.315 2.274 1.812
-0.002 0.000 6.082
5.284 0.000 1.819
3.967 2.274 6.089

---

# 4
Ac3Tl2Pb3 GGA-PBE optimized geometry; excess energy over the best structure of this formula in the dataset = 0 meV per atom; spin magnetization = 0.0 μB/f.u.; density = 10.31 g/cm3; formation energy from the elements = -0.37 eV/atom
1.0
2.633 -6.227 0.000
2.633 6.227 0.000
0.000 0.000 16.811
Ac Tl Pb
6 4 6
Cartesian
2.633 5.755 12.608
2.633 4.446 0.540
2.633 4.446 7.866
2.633 -4.446 8.945
2.633 -4.446 16.271
2.633 -5.755 4.203
2.633 2.374 10.976
2.633 2.374 14.241
2.633 -2.374 2.570
2.633 -2.374 5.835
2.633 3.121 4.203
2.633 0.741 1.566
2.633 0.741 6.840
2.633 -0.741 9.971
2.633 -0.741 15.245
2.633 -3.121 12.608

---

# 5
NiPHCl2 GGA-PBE optimized geometry; excess energy over the best structure of this formula in the dataset = 133 meV per atom; spin magnetization = 1.0 μB/f.u.; density = 3.63 g/cm3
1.0
4.792 0.000 0.000
0.000 4.792 0.000
0.000 0.000 3.222
Ni P H Cl
1 1 1 2
Cartesian
0.000 0.000 0.000
2.396 2.396 0.000
2.396 2.396 1.611
0.000 2.396 1.611
2.396 0.000 1.611

---

# 6
TbEr3Mg8 GGA-PBE optimized geometry; spin magnetization = 0.0 μB/f.u.; density = 4.61 g/cm3; formation energy from the elements = -0.06 eV/atom
1.0
6.046 0.000 0.000
-3.023 5.236 0.000
0.000 0.000 9.725
Tb Er Mg
1 3 8
Cartesian
0.000 0.000 0.000
0.000 0.000 3.620
3.023 1.745 4.850
3.023 1.745 8.460
0.000 1.703 6.660
-1.548 4.385 6.660
0.000 3.491 4.235
0.000 3.491 9.095
3.023 0.045 1.807
1.551 2.596 1.807
1.548 4.385 6.660
4.496 2.596 1.807

---

# 7
TaOsBr GGA-PBE optimized geometry; raw formation energy = 0.1153 eV per atom; excess energy over the best structure of this formula in the dataset = 0 meV per atom; spin magnetization = 0.0 μB/f.u.; density = 11.66 g/cm3
1.0
3.147 0.000 0.000
0.000 3.246 0.000
0.000 0.000 12.577
Ta Os Br
2 2 2
Cartesian
0.000 0.000 0.000
1.574 1.623 6.288
0.000 0.000 5.005
1.574 1.623 11.293
0.000 1.623 8.469
1.574 0.000 2.181

---

# 8
Nd2Br5Cl GGA-PBE optimized geometry; raw formation energy = -1.6707 eV per atom; spin magnetization = 0.0 μB/f.u.; density = 4.81 g/cm3
1.0
4.912 0.000 0.000
0.000 8.982 0.000
0.000 0.000 11.318
Nd Br Cl
4 10 2
Cartesian
0.000 0.000 2.822
0.000 0.000 8.496
2.456 4.491 2.837
2.456 4.491 8.481
0.000 0.000 5.659
0.000 2.829 1.872
0.000 2.829 9.446
0.000 6.153 1.872
0.000 6.153 9.446
2.456 1.662 3.787
2.456 1.662 7.531
2.456 4.491 0.000
2.456 7.320 3.787
2.456 7.320 7.531
0.000 4.491 5.659
2.456 0.000 0.000

---

# 9
Pr2Sm3Ho GGA-PBE optimized geometry; excess energy over the best structure of this formula in the dataset = 75 meV per atom; spin magnetization = 0.0 μB/f.u.; density = 7.16 g/cm3; formation energy from the elements = 0.25 eV/atom
1.0
6.794 0.000 0.000
0.000 17.880 0.000
0.000 0.000 3.428
Pr Sm Ho
4 6 2
Cartesian
1.610 2.703 0.000
1.787 11.643 1.714
5.007 6.237 1.714
5.184 15.178 0.000
0.000 0.000 1.714
1.652 5.772 1.714
1.745 14.712 0.000
3.397 8.940 0.000
5.049 3.169 0.000
5.142 12.109 1.714
0.000 8.940 1.714
3.397 0.000 0.000

---

# 10
Nd4NiOs GGA-PBE optimized geometry; spin magnetization = 0.0 μB/f.u.; density = 8.37 g/cm3; formation energy from the elements = -0.13 eV/atom
1.0
4.581 -6.745 0.000
4.581 6.745 0.000
-3.578 0.000 5.305
Nd Ni Os
8 2 2
Cartesian
0.167 4.398 4.765
0.162 0.917 3.909
3.629 4.398 3.193
1.951 -0.917 1.257
3.634 0.917 4.048
1.955 -4.398 2.112
5.423 -0.917 1.396
5.418 -4.398 0.541
3.687 1.758 1.326
1.898 -1.758 3.979
3.687 6.714 1.326
1.898 -6.714 3.979

---

# 11
YTm4Mg GGA-PBE optimized geometry; excess energy over the best structure of this formula in the dataset = 0 meV per atom; spin magnetization = 0.0 μB/f.u.; density = 7.43 g/cm3; formation energy from the elements = 0.00 eV/atom
1.0
3.512 0.000 0.000
0.000 3.512 0.000
0.000 0.000 14.301
Y Tm Mg
1 4 1
Cartesian
0.000 0.000 0.000
0.000 0.000 4.928
0.000 0.000 9.373
1.756 1.756 2.513
1.756 1.756 11.788
1.756 1.756 7.151

---

# 12
AlNiHS2 GGA-PBE optimized geometry; E = -3.941 eV/atom; spin magnetization = 0.0 μB/f.u.; density = 4.10 g/cm3
1.0
4.385 0.000 0.000
0.000 4.385 0.000
0.000 0.000 3.179
Al Ni H S
1 1 1 2
Cartesian
0.000 0.000 0.000
2.193 2.193 0.000
2.193 2.193 1.590
0.000 2.193 1.590
2.193 0.000 1.590

---

# 13
ZrTa2Pd2 GGA-PBE optimized geometry; spin magnetization = 0.0 μB/f.u.; density = 12.22 g/cm3; formation energy from the elements = -0.14 eV/atom
1.0
7.963 0.000 0.000
0.000 7.963 0.000
0.000 0.000 2.855
Zr Ta Pd
2 4 4
Cartesian
0.000 0.000 0.000
3.982 3.982 0.000
1.371 2.611 1.427
2.611 6.592 1.427
5.352 1.371 1.427
6.592 5.352 1.427
0.989 4.970 0.000
2.993 0.989 0.000
4.970 6.975 0.000
6.975 2.993 0.000

---

# 14
Th2FeI GGA-PBE optimized geometry; raw formation energy = -0.4937 eV per atom; excess energy over the best structure of this formula in the dataset = 0 meV per atom; spin magnetization = 0.0 μB/f.u.; density = 9.16 g/cm3
1.0
4.066 0.000 0.000
-2.033 3.521 0.000
0.000 0.000 24.563
Th Fe I
6 3 3
Cartesian
0.000 0.000 5.486
0.000 0.000 19.077
0.000 2.348 10.889
0.000 2.348 21.861
2.033 1.174 2.702
2.033 1.174 13.674
0.000 0.000 12.281
0.000 2.348 4.094
2.033 1.174 20.469
0.000 0.000 0.000
0.000 2.348 16.375
2.033 1.174 8.188

---

# 15
PmDyBeSi GGA-PBE optimized geometry; raw formation energy = -0.2079 eV per atom; spin magnetization = 0.0 μB/f.u.; density = 6.71 g/cm3
1.0
6.986 0.000 0.000
0.000 6.986 0.000
0.000 0.000 6.986
Pm Dy Be Si
4 4 4 4
Cartesian
0.000 0.000 0.000
0.000 3.493 3.493
3.493 0.000 3.493
3.493 3.493 0.000
0.000 0.000 3.493
0.000 3.493 0.000
3.493 0.000 0.000
3.493 3.493 3.493
1.746 1.746 5.239
1.746 5.239 1.746
5.239 1.746 1.746
5.239 5.239 5.239
1.746 1.746 1.746
1.746 5.239 5.239
5.239 1.746 5.239
5.239 5.239 1.746

---

# 16
Cs2Hg4PdAu2 GGA-PBE optimized geometry; spin magnetization = 0.0 μB/f.u.; density = 9.57 g/cm3; formation energy from the elements = -0.15 eV/atom
1.0
5.898 -3.634 0.000
5.898 3.634 0.000
-0.192 0.000 6.347
Cs Hg Pd Au
2 4 1 2
Cartesian
1.658 0.000 2.138
9.945 0.000 4.209
4.645 1.655 1.103
6.959 1.655 5.243
4.645 -1.655 1.103
6.959 -1.655 5.243
5.802 0.000 3.173
3.732 0.000 5.018
7.871 0.000 1.329

---

# 17
ZrCrCo GGA-PBE optimized geometry; excess energy over the best structure of this formula in the dataset = 1043 meV per atom; spin magnetization = 3.7 μB/f.u.; density = 6.13 g/cm3; formation energy from the elements = 0.87 eV/atom
1.0
6.028 0.000 0.000
0.000 6.028 0.000
0.000 0.000 6.028
Zr Cr Co
4 4 4
Cartesian
0.000 0.000 0.000
0.000 3.014 3.014
3.014 0.000 3.014
3.014 3.014 0.000
1.507 1.507 1.507
1.507 4.521 4.521
4.521 1.507 4.521
4.521 4.521 1.507
1.507 1.507 4.521
1.507 4.521 1.507
4.521 1.507 1.507
4.521 4.521 4.521

---

# 18
MgBeInO2 GGA-PBE optimized geometry; raw formation energy = 0.0627 eV per atom; spin magnetization = 0.0 μB/f.u.; density = 3.56 g/cm3
1.0
4.171 0.000 0.000
0.000 4.171 0.000
0.000 0.000 4.833
Mg Be In O
1 1 1 2
Cartesian
0.000 0.000 0.000
2.086 2.086 0.000
2.086 2.086 2.417
0.000 2.086 2.417
2.086 0.000 2.417

---

# 19
LaPr10Er4 GGA-PBE optimized geometry; spin magnetization = 0.0 μB/f.u.; density = 6.43 g/cm3; formation energy from the elements = 0.49 eV/atom
1.0
-6.409 6.409 3.487
6.409 -6.409 3.487
6.409 6.409 -3.487
La Pr Er
1 10 4
Cartesian
0.000 0.000 0.000
4.776 -2.725 1.783
9.134 -1.632 1.705
6.409 0.000 1.744
3.683 1.632 1.705
8.041 2.725 1.783
-1.632 3.683 1.705
2.725 4.776 1.783
0.000 6.409 1.744
-2.725 8.041 1.783
1.632 9.134 1.705
5.543 4.149 0.000
2.260 -0.866 3.487
4.149 7.275 0.000
0.866 2.260 3.487

---

# 20
Ba2Sn2Au GGA-PBE optimized geometry; excess energy over the best structure of this formula in the dataset = 0 meV per atom; spin magnetization = 0.0 μB/f.u.; density = 6.67 g/cm3; formation energy from the elements = -0.68 eV/atom
1.0
6.388 -2.458 0.000
6.388 2.458 0.000
-5.755 0.000 11.248
Ba Sn Au
4 4 2
Cartesian
-1.042 0.000 4.437
-1.165 0.000 9.551
8.186 0.000 1.698
8.063 0.000 6.811
-4.648 0.000 10.344
2.691 0.000 4.362
4.330 0.000 6.886
11.669 0.000 0.904
4.490 0.000 2.110
2.531 0.000 9.138

---

# 21
Tb2DyCu GGA-PBE optimized geometry; excess energy over the best structure of this formula in the dataset = 136 meV per atom; spin magnetization = 0.0 μB/f.u.; density = 8.20 g/cm3; formation energy from the elements = 0.04 eV/atom
1.0
3.575 0.000 0.000
-1.788 3.096 0.000
0.000 0.000 29.856
Tb Dy Cu
6 3 3
Cartesian
0.000 0.000 7.032
0.000 0.000 22.824
0.000 2.064 12.872
0.000 2.064 26.935
1.788 1.032 2.920
1.788 1.032 16.984
0.000 0.000 0.000
0.000 2.064 19.904
1.788 1.032 9.952
0.000 0.000 14.928
0.000 2.064 4.976
1.788 1.032 24.880

---

# 22
ReRu2Br GGA-PBE optimized geometry; raw formation energy = 1.0111 eV per atom; excess energy over the best structure of this formula in the dataset = 501 meV per atom; spin magnetization = 0.8 μB/f.u.; density = 12.49 g/cm3
1.0
4.669 0.000 0.000
0.000 4.669 0.000
0.000 0.000 2.854
Re Ru Br
1 2 1
Cartesian
0.000 0.000 0.000
0.000 2.335 1.427
2.335 0.000 1.427
2.335 2.335 0.000

---

# 23
LaPr2Ho2Tm2 GGA-PBE optimized geometry; spin magnetization = 0.0 μB/f.u.; density = 7.73 g/cm3; formation energy from the elements = 0.12 eV/atom
1.0
9.787 0.000 0.000
0.000 5.772 0.000
-3.544 0.000 8.280
La Pr Ho Tm
2 4 4 4
Cartesian
0.000 0.000 0.000
4.893 2.886 0.000
-0.117 0.000 3.915
1.467 2.886 4.365
4.776 2.886 3.915
6.360 0.000 4.365
-1.813 2.886 5.868
3.163 0.000 2.412
3.080 0.000 5.868
8.057 2.886 2.412
1.592 2.886 0.965
-0.242 0.000 7.315
6.485 0.000 0.965
4.651 2.886 7.315

---

# 24
LaNdGeRu GGA-PBE optimized geometry; spin magnetization = 0.0 μB/f.u.; density = 7.61 g/cm3; formation energy from the elements = -0.55 eV/atom
1.0
4.378 0.000 0.000
0.000 4.526 0.000
0.000 0.000 10.056
La Nd Ge Ru
2 2 2 2
Cartesian
0.000 0.000 0.000
0.000 2.263 5.028
2.189 0.000 3.012
2.189 2.263 8.040
2.189 0.000 6.051
2.189 2.263 1.022
0.000 0.000 7.556
0.000 2.263 2.528